No. 1
Below is a relaxed structure of Lu4Zr3O12, with properties calculated at the PBE level.

The structure belongs to space group P-1 (No. 2); the cell edges are 6.300, 6.322 and 6.463 Å and the angles 99.74°, 99.04° and 99.33°. The distinct sites, in fractional coordinates, are Lu at (0.110, 0.303, 0.135), Lu at (0.191, 0.864, 0.390), Zr at (0.350, 0.395, 0.674), Zr at (0.500, 0.000, 0.000), O at (0.082, 0.185, 0.429), O at (0.083, 0.419, 0.822), O at (0.182, 0.928, 0.061), O at (0.324, 0.572, 0.425), O at (0.417, 0.077, 0.686) and O at (0.463, 0.323, 0.108).

For the energy relative to the elements, uncorrected, the calculation gives -3.55 eV/atom. Its crystal system is triclinic.

=====

No. 2
Below is a relaxed structure of LuOs2, with properties calculated at the PBE level.

The structure belongs to space group P6_3/mmc (No. 194); the cell edges are 5.2763, 5.2763 and 8.7421 Å and the angles 90.00°, 90.00° and 120.00°. The distinct sites, in fractional coordinates, are Lu at (0.3333, 0.6667, 0.0651), Os at (0.0000, 0.0000, 0.0000) and Os at (0.1723, 0.3446, 0.7500).

As for the formation energy: -1.16 eV/f.u. Its crystal system is hexagonal.

=====

No. 3
Below is a relaxed structure of Lu3Os, with properties calculated at the PBE level.

The structure belongs to space group Immm (No. 71); the cell edges are 3.478, 5.088 and 10.782 Å and the angles 90.00°, 90.00° and 90.00°. The distinct sites, in fractional coordinates, are Lu at (0.000, 0.000, 0.000), Lu at (0.000, 0.500, 0.199) and Os at (0.000, 0.000, 0.500).

As for the formation energy: -0.86 eV/f.u. Its crystal system is orthorhombic.

=====

No. 4
Below is a relaxed structure of LuOs3, with properties calculated at the PBE level.

The structure belongs to space group P6_3/mmc (No. 194); the cell edges are 5.7162, 5.7162 and 4.5943 Å and the angles 90.00°, 90.00° and 120.00°. The distinct sites, in fractional coordinates, are Lu at (0.3333, 0.6667, 0.2500) and Os at (0.1627, 0.3253, 0.7500).

As for the formation energy: 1.06 eV/f.u. Its crystal system is hexagonal.

=====

No. 5
Below is a relaxed structure of LuPa2Os, with properties calculated at the PBE level.

The structure belongs to space group P4/mmm (No. 123); the cell edges are 3.649, 3.649 and 7.220 Å and the angles 90.00°, 90.00° and 90.00°. The distinct sites, in fractional coordinates, are Lu at (0.000, 0.000, 0.000), Pa at (0.500, 0.500, 0.305) and Os at (0.000, 0.000, 0.500).

Its distance to the lowest polymorph of the same formula is 0.000 eV per atom. As for the formation energy: -0.01 eV/f.u. Its crystal system is tetragonal.

=====

No. 6
Below is a relaxed structure of Lu2PaOs, with properties calculated at the PBE level.

The structure belongs to space group R-3m (No. 166, hexagonal axes); the cell edges are 3.1925, 3.1925 and 31.8737 Å and the angles 90.00°, 90.00° and 120.00°. The distinct sites, in fractional coordinates, are Lu at (0.0000, 0.0000, 0.1010), Pa at (0.0000, 0.0000, 0.0000) and Os at (0.0000, 0.0000, 0.5000).

As for the formation energy: 0.94 eV/f.u. Its crystal system is trigonal.

=====

No. 7
Below is a relaxed structure of LuPa2Os, with properties calculated at the PBE level.

The structure belongs to space group R-3m (No. 166, hexagonal axes); the cell edges are 3.5820, 3.5820 and 29.9131 Å and the angles 90.00°, 90.00° and 120.00°. The distinct sites, in fractional coordinates, are Lu at (0.0000, 0.0000, 0.0000), Pa at (0.0000, 0.0000, 0.1063) and Os at (0.0000, 0.0000, 0.5000).

Its distance to the lowest polymorph of the same formula is 0.355 eV per atom. As for the formation energy: 1.41 eV/f.u. Its crystal system is trigonal.

=====

No. 8
Below is a relaxed structure of LuPaOs4, with properties calculated at the PBE level.

The structure belongs to space group F-43m (No. 216); the cell edges are 7.558, 7.558 and 7.558 Å and the angles 90.00°, 90.00° and 90.00°. The distinct sites, in fractional coordinates, are Lu at (0.000, 0.000, 0.000), Pa at (0.250, 0.250, 0.250) and Os at (0.125, 0.125, 0.625).

As for the formation energy: -1.85 eV/f.u. Its crystal system is cubic.

=====

No. 9
Below is a relaxed structure of LuPuPaOs, with properties calculated at the PBE level.

The structure belongs to space group F-43m (No. 216); the cell edges are 7.001, 7.001 and 7.001 Å and the angles 90.00°, 90.00° and 90.00°. The distinct sites, in fractional coordinates, are Lu at (0.000, 0.000, 0.000), Pu at (0.250, 0.250, 0.750), Pa at (0.000, 0.000, 0.500) and Os at (0.250, 0.250, 0.250).

As for the formation energy: 0.00 eV/f.u. Its crystal system is cubic.

=====

No. 10
Below is a relaxed structure of LuPaOsRu, with properties calculated at the PBE level.

The structure belongs to space group F-43m (No. 216); the cell edges are 6.800, 6.800 and 6.800 Å and the angles 90.00°, 90.00° and 90.00°. The distinct sites, in fractional coordinates, are Lu at (0.000, 0.000, 0.000), Pa at (0.000, 0.000, 0.500), Os at (0.250, 0.250, 0.250) and Ru at (0.250, 0.250, 0.750).

As for the formation energy: -1.65 eV/f.u. Its crystal system is cubic.

=====

No. 11
Below is a relaxed structure of LuPaZnOs, with properties calculated at the PBE level.

The structure belongs to space group F-43m (No. 216); the cell edges are 6.898, 6.898 and 6.898 Å and the angles 90.00°, 90.00° and 90.00°. The distinct sites, in fractional coordinates, are Lu at (0.000, 0.000, 0.000), Pa at (0.000, 0.000, 0.500), Zn at (0.250, 0.250, 0.750) and Os at (0.250, 0.250, 0.250).

As for the formation energy: -0.86 eV/f.u. Its crystal system is cubic.

=====

No. 12
Below is a relaxed structure of PrLuOsPd, with properties calculated at the PBE level.

The structure belongs to space group F-43m (No. 216); the cell edges are 6.977, 6.977 and 6.977 Å and the angles 90.00°, 90.00° and 90.00°. The distinct sites, in fractional coordinates, are Pr at (0.000, 0.000, 0.000), Lu at (0.000, 0.000, 0.500), Os at (0.250, 0.250, 0.750) and Pd at (0.250, 0.250, 0.250).

As for the formation energy: -1.68 eV/f.u. Its crystal system is cubic.

=====

Q: What is the formula in the ninth record?
A: LuPuPaOs